A plane-wave DFT calculation with PBE was carried out for a relaxed structure of TbPmCu.

Properties
The value obtained for the formation enthalpy at 0 K is 0.09 eV per atom.

Geometry as CIF:
```
data_TbPmCu
_chemical_formula_sum 'Tb4 Pm4 Cu4'
_symmetry_space_group_name_H-M 'F -4 3 m'
_symmetry_Int_Tables_number 216
_symmetry_space_group_name_Hall 'F -4 2 3'
_cell_length_a 6.949
_cell_length_b 6.949
_cell_length_c 6.949
_cell_angle_alpha 90.00
_cell_angle_beta 90.00
_cell_angle_gamma 90.00
loop_
_atom_site_label
_atom_site_type_symbol
_atom_site_fract_x
_atom_site_fract_y
_atom_site_fract_z
_atom_site_occupancy
Tb1 Tb 0.000 0.000 0.000 1
Pm1 Pm 0.000 0.000 0.500 1
Cu1 Cu 0.250 0.250 0.750 1
```


A plane-wave DFT calculation with PBE was carried out for a relaxed structure of RbTcW.

Properties
Its energy above the most stable polymorph in this dataset is 1512.6 meV/atom.

Geometry as CIF:
```
data_RbTcW
_chemical_formula_sum 'Rb4 Tc4 W4'
_symmetry_space_group_name_H-M 'F -4 3 m'
_symmetry_Int_Tables_number 216
_symmetry_space_group_name_Hall 'F -4 2 3'
_cell_length_a 6.346
_cell_length_b 6.346
_cell_length_c 6.346
_cell_angle_alpha 90.00
_cell_angle_beta 90.00
_cell_angle_gamma 90.00
loop_
_atom_site_label
_atom_site_type_symbol
_atom_site_fract_x
_atom_site_fract_y
_atom_site_fract_z
_atom_site_occupancy
Rb1 Rb 0.000 0.000 0.000 1
Tc1 Tc 0.250 0.250 0.750 1
W1 W 0.250 0.250 0.250 1
```


A plane-wave DFT calculation with PBE was carried out for a relaxed structure of FeNiAsPt.

Properties
Its energy above the most stable polymorph in this dataset is 19.8 meV/atom.

Geometry as CIF:
```
data_FeNiAsPt
_chemical_formula_sum 'Fe4 Ni4 As4 Pt4'
_symmetry_space_group_name_H-M 'F -4 3 m'
_symmetry_Int_Tables_number 216
_symmetry_space_group_name_Hall 'F -4 2 3'
_cell_length_a 6.021
_cell_length_b 6.021
_cell_length_c 6.021
_cell_angle_alpha 90.00
_cell_angle_beta 90.00
_cell_angle_gamma 90.00
loop_
_atom_site_label
_atom_site_type_symbol
_atom_site_fract_x
_atom_site_fract_y
_atom_site_fract_z
_atom_site_occupancy
Fe1 Fe 0.000 0.000 0.000 1
Ni1 Ni 0.250 0.250 0.250 1
As1 As 0.250 0.250 0.750 1
Pt1 Pt 0.000 0.000 0.500 1
```